Record 1
Below is a relaxed structure of K2BaIr, with properties calculated at the GGA-PBEsol level.

For the excess energy over the best structure of this formula in the dataset, the calculation gives 149 meV per atom. The value obtained for the energy of formation is 2.5 eV per formula unit. As for the energy: -2.93 eV/atom. The volume comes out at 267.44 Å³ per cell.

The structure belongs to space group Cmmm (No. 65); the cell edges are 6.259, 7.193 and 5.940 Å and the angles 90.00°, 90.00° and 90.00°. The inequivalent atoms are K at (0.000, 0.208, 0.000), Ba at (0.000, 0.500, 0.500) and Ir at (0.000, 0.000, 0.500).

=====

Record 2
Below is a relaxed structure of AlAg5, with properties calculated at the GGA-PBEsol level.

For the excess energy over the best structure of this formula in the dataset, the calculation gives 16 meV per atom. The value obtained for the energy of formation is -0.3 eV per formula unit. As for the energy: -3.50 eV/atom. The volume comes out at 195.84 Å³ per cell.

The structure belongs to space group C2/m (No. 12); the cell edges are 12.143, 2.880 and 5.758 Å and the angles 90.00°, 103.42° and 90.00°. The inequivalent atoms are Al at (0.000, 0.000, 0.000), Ag at (0.000, 0.000, 0.500), Ag at (0.161, 0.500, 0.838) and Ag at (0.166, 0.500, 0.328).

=====

Record 3
Below is a relaxed structure of TiCuGeAs2, with properties calculated at the GGA-PBEsol level.

The value obtained for the energy of formation is 4.9 eV per formula unit. As for the energy: -4.59 eV/atom. The volume comes out at 109.25 Å³ per cell.

The structure belongs to space group P4/mmm (No. 123); the cell edges are 4.807, 4.807 and 4.729 Å and the angles 90.00°, 90.00° and 90.00°. The inequivalent atoms are Ti at (0.000, 0.000, 0.000), Cu at (0.500, 0.500, 0.000), Ge at (0.000, 0.000, 0.500) and As at (0.000, 0.500, 0.500).

=====

Record 4
Below is a relaxed structure of CuNiRh2, with properties calculated at the GGA-PBEsol level.

The value obtained for the energy of formation is 0.4 eV per formula unit. As for the energy: -6.59 eV/atom. The volume comes out at 98.17 Å³ per cell.

The structure belongs to space group I4/mmm (No. 139); the cell edges are 3.710, 3.710 and 7.131 Å and the angles 90.00°, 90.00° and 90.00°. The inequivalent atoms are Cu at (0.000, 0.000, 0.000), Ni at (0.000, 0.000, 0.500) and Rh at (0.000, 0.500, 0.250).

=====

Record 5
Below is a relaxed structure of CaIn2P, with properties calculated at the GGA-PBEsol level.

The value obtained for the energy of formation is -1.3 eV per formula unit. As for the energy: -3.79 eV/atom. The volume comes out at 92.07 Å³ per cell.

The structure belongs to space group P4mm (No. 99); the cell edges are 3.753, 3.753 and 6.537 Å and the angles 90.00°, 90.00° and 90.00°. The inequivalent atoms are Ca at (0.000, 0.000, 0.000), In at (0.000, 0.000, 0.545), In at (0.500, 0.500, 0.307) and P at (0.500, 0.500, 0.743).

=====

Record 6
Below is a relaxed structure of CdAu7, with properties calculated at the GGA-PBEsol level.

The value obtained for the energy of formation is -0.5 eV per formula unit. As for the energy: -3.64 eV/atom. The volume comes out at 550.01 Å³ per cell.

The structure belongs to space group Fm-3m (No. 225); the cell edges are 8.193, 8.193 and 8.193 Å and the angles 90.00°, 90.00° and 90.00°. The inequivalent atoms are Cd at (0.000, 0.000, 0.000), Au at (0.000, 0.000, 0.500) and Au at (0.000, 0.250, 0.250).